First-principles (GGA-PBE) data for an optimized crystal structure of Tb8Ho3Th2, as listed in the Alexandria database.

Unit cell a=6.147 b=7.645 c=18.615 alpha=86.10 beta=81.08 gamma=77.55
Element x y z (fractional)
Tb: 0.001 0.020 0.322
Tb: 0.112 0.555 0.076
Tb: 0.113 0.532 0.739
Tb: 0.232 0.095 0.815
Tb: 0.335 0.660 0.887
Tb: 0.370 0.648 0.561
Tb: 0.446 0.217 0.963
Tb: 0.449 0.178 0.614
Tb: 0.551 0.822 0.386
Tb: 0.554 0.783 0.037
Tb: 0.630 0.352 0.439
Tb: 0.665 0.340 0.113
Tb: 0.768 0.905 0.185
Tb: 0.887 0.468 0.261
Tb: 0.888 0.445 0.924
Tb: 0.999 0.980 0.678
Ho: 0.000 0.000 0.000
Ho: 0.000 0.000 0.500
Ho: 0.333 0.684 0.227
Ho: 0.432 0.243 0.290
Ho: 0.568 0.757 0.710
Ho: 0.667 0.316 0.773
Th: 0.089 0.567 0.414
Th: 0.220 0.119 0.147
Th: 0.780 0.881 0.853
Th: 0.911 0.433 0.586

Results
The value obtained for the energy above the most stable polymorph in this dataset is 0 meV per atom. The formation enthalpy at 0 K comes out at 0.1136 eV/atom. The calculation puts the volume at 32.44 Å³ per atom. The calculation puts the density of states at the Fermi level at 36.93 states/eV per cell. As for the space group: P-1. The value obtained for the magnetic moment is 0.000 μB per cell.

---

First-principles (GGA-PBE) data for an optimized crystal structure of Tb3HoTh2, as listed in the Alexandria database.

Unit cell a=10.039 b=3.575 c=10.671 alpha=90.00 beta=90.09 gamma=90.00
Element x y z (fractional)
Tb: 0.124 0.250 0.251
Tb: 0.133 0.250 0.918
Tb: 0.369 0.750 0.417
Tb: 0.631 0.250 0.583
Tb: 0.867 0.750 0.082
Tb: 0.876 0.750 0.749
Ho: 0.376 0.750 0.750
Ho: 0.624 0.250 0.250
Th: 0.122 0.250 0.582
Th: 0.379 0.750 0.083
Th: 0.621 0.250 0.917
Th: 0.878 0.750 0.418

Results
The value obtained for the energy above the most stable polymorph in this dataset is 0 meV per atom. The formation enthalpy at 0 K comes out at 0.0289 eV/atom. The calculation puts the volume at 31.92 Å³ per atom. The calculation puts the density of states at the Fermi level at 15.20 states/eV per cell. As for the space group: P2_1/m. The value obtained for the magnetic moment is 0.000 μB per cell.

---

First-principles (GGA-PBE) data for an optimized crystal structure of Tb2Ho4Th, as listed in the Alexandria database.

Unit cell a=3.580 b=3.580 c=20.086 alpha=95.13 beta=95.13 gamma=60.02
Element x y z (fractional)
Tb: 0.000 0.000 0.000
Tb: 0.094 0.094 0.285
Ho: 0.189 0.189 0.568
Ho: 0.286 0.286 0.857
Ho: 0.713 0.713 0.142
Ho: 0.807 0.807 0.427
Th: 0.904 0.904 0.712

Results
The value obtained for the energy above the most stable polymorph in this dataset is 0 meV per atom. The formation enthalpy at 0 K comes out at 0.0200 eV/atom. The calculation puts the volume at 31.69 Å³ per atom. The calculation puts the density of states at the Fermi level at 11.89 states/eV per cell. As for the space group: Cm. The value obtained for the magnetic moment is 0.000 μB per cell.

---

First-principles (GGA-PBE) data for an optimized crystal structure of TbHoTh2, as listed in the Alexandria database.

Unit cell a=3.554 b=3.554 c=10.113 alpha=90.00 beta=90.00 gamma=90.00
Element x y z (fractional)
Tb: 0.000 0.000 0.000
Ho: 0.000 0.000 0.500
Th: 0.500 0.500 0.251
Th: 0.500 0.500 0.749

Results
The value obtained for the energy above the most stable polymorph in this dataset is 21 meV per atom. The formation enthalpy at 0 K comes out at 0.0512 eV/atom. The calculation puts the volume at 31.93 Å³ per atom. The calculation puts the density of states at the Fermi level at 5.87 states/eV per cell. As for the space group: P4/mmm. The value obtained for the magnetic moment is 0.000 μB per cell.

---

First-principles (GGA-PBE) data for an optimized crystal structure of Tb8Ho3Th2, as listed in the Alexandria database.

Unit cell a=10.998 b=10.998 c=5.654 alpha=90.02 beta=90.02 gamma=39.21
Element x y z (fractional)
Tb: 0.108 0.676 0.000
Tb: 0.168 0.168 0.500
Tb: 0.324 0.892 0.000
Tb: 0.362 0.362 0.500
Tb: 0.638 0.638 0.500
Tb: 0.676 0.108 0.000
Tb: 0.832 0.832 0.500
Tb: 0.892 0.324 0.000
Ho: 0.225 0.775 0.500
Ho: 0.500 0.500 0.000
Ho: 0.775 0.225 0.500
Th: 0.255 0.255 0.000
Th: 0.745 0.745 0.000

Results
The value obtained for the energy above the most stable polymorph in this dataset is 157 meV per atom. The formation enthalpy at 0 K comes out at 0.2709 eV/atom. The calculation puts the volume at 33.26 Å³ per atom. The calculation puts the density of states at the Fermi level at 22.57 states/eV per cell. As for the space group: C2/m. The value obtained for the magnetic moment is 0.000 μB per cell.

---

First-principles (GGA-PBE) data for an optimized crystal structure of TbHo2Th2, as listed in the Alexandria database.

Unit cell a=14.591 b=7.106 c=6.185 alpha=90.00 beta=98.20 gamma=90.00
Element x y z (fractional)
Tb: 0.198 0.127 0.150
Tb: 0.198 0.373 0.650
Tb: 0.802 0.627 0.350
Tb: 0.802 0.873 0.850
Ho: 0.197 0.623 0.148
Ho: 0.197 0.877 0.648
Ho: 0.402 0.625 0.550
Ho: 0.402 0.875 0.050
Ho: 0.598 0.125 0.950
Ho: 0.598 0.375 0.450
Ho: 0.803 0.123 0.352
Ho: 0.803 0.377 0.852
Th: 0.001 0.624 0.748
Th: 0.001 0.876 0.248
Th: 0.402 0.129 0.550
Th: 0.402 0.371 0.050
Th: 0.598 0.629 0.950
Th: 0.598 0.871 0.450
Th: 0.999 0.124 0.752
Th: 0.999 0.376 0.252

Results
The value obtained for the energy above the most stable polymorph in this dataset is 0 meV per atom. The formation enthalpy at 0 K comes out at 0.0316 eV/atom. The calculation puts the volume at 31.73 Å³ per atom. The calculation puts the density of states at the Fermi level at 26.18 states/eV per cell. As for the space group: P2_1/c. The value obtained for the magnetic moment is 0.001 μB per cell.

---

First-principles (GGA-PBE) data for an optimized crystal structure of Tb2Ho3Th, as listed in the Alexandria database.

Unit cell a=8.046 b=8.046 c=6.402 alpha=90.00 beta=90.00 gamma=108.80
Element x y z (fractional)
Tb: 0.002 0.633 0.500
Tb: 0.367 0.998 0.500
Tb: 0.633 0.002 0.000
Tb: 0.998 0.367 0.000
Ho: 0.111 0.254 0.481
Ho: 0.254 0.111 0.981
Ho: 0.414 0.586 0.718
Ho: 0.586 0.414 0.218
Ho: 0.746 0.889 0.481
Ho: 0.889 0.746 0.981
Th: 0.330 0.670 0.200
Th: 0.670 0.330 0.700

Results
The value obtained for the energy above the most stable polymorph in this dataset is 119 meV per atom. The formation enthalpy at 0 K comes out at 0.2507 eV/atom. The calculation puts the volume at 32.70 Å³ per atom. The calculation puts the density of states at the Fermi level at 21.19 states/eV per cell. As for the space group: Cmc2_1. The value obtained for the magnetic moment is 0.000 μB per cell.

---

First-principles (GGA-PBE) data for an optimized crystal structure of TbHo3Th2, as listed in the Alexandria database.

Unit cell a=10.016 b=3.562 c=10.629 alpha=90.00 beta=90.10 gamma=90.00
Element x y z (fractional)
Tb: 0.124 0.250 0.251
Tb: 0.876 0.750 0.749
Ho: 0.132 0.250 0.918
Ho: 0.370 0.750 0.418
Ho: 0.376 0.750 0.751
Ho: 0.624 0.250 0.249
Ho: 0.630 0.250 0.582
Ho: 0.868 0.750 0.082
Th: 0.123 0.250 0.582
Th: 0.378 0.750 0.082
Th: 0.622 0.250 0.918
Th: 0.877 0.750 0.418

Results
The value obtained for the energy above the most stable polymorph in this dataset is 0 meV per atom. The formation enthalpy at 0 K comes out at 0.0292 eV/atom. The calculation puts the volume at 31.60 Å³ per atom. The calculation puts the density of states at the Fermi level at 14.92 states/eV per cell. As for the space group: P2_1/m. The value obtained for the magnetic moment is 0.000 μB per cell.

---

First-principles (GGA-PBE) data for an optimized crystal structure of TbHo9Th2, as listed in the Alexandria database.

Unit cell a=11.292 b=11.292 c=3.470 alpha=90.00 beta=90.00 gamma=120.00
Element x y z (fractional)
Tb: 0.000 0.000 0.000
Ho: 0.000 0.500 0.000
Ho: 0.174 0.348 0.500
Ho: 0.174 0.826 0.500
Ho: 0.348 0.174 0.500
Ho: 0.500 0.000 0.000
Ho: 0.500 0.500 0.000
Ho: 0.652 0.826 0.500
Ho: 0.826 0.174 0.500
Ho: 0.826 0.652 0.500
Th: 0.333 0.667 0.000
Th: 0.667 0.333 0.000

Results
The value obtained for the energy above the most stable polymorph in this dataset is 76 meV per atom. The formation enthalpy at 0 K comes out at 0.1082 eV/atom. The calculation puts the volume at 31.93 Å³ per atom. The calculation puts the density of states at the Fermi level at 22.51 states/eV per cell. As for the space group: P6/mmm. The value obtained for the magnetic moment is 0.001 μB per cell.

---

First-principles (GGA-PBE) data for an optimized crystal structure of Tb3Ho5Th3, as listed in the Alexandria database.

Unit cell a=11.172 b=11.172 c=3.413 alpha=90.00 beta=90.00 gamma=120.00
Element x y z (fractional)
Tb: 0.000 0.593 0.000
Tb: 0.407 0.407 0.000
Tb: 0.593 0.000 0.000
Ho: 0.000 0.840 0.500
Ho: 0.160 0.160 0.500
Ho: 0.333 0.667 0.500
Ho: 0.667 0.333 0.500
Ho: 0.840 0.000 0.500
Th: 0.000 0.339 0.500
Th: 0.339 0.000 0.500
Th: 0.661 0.661 0.500

Results
The value obtained for the energy above the most stable polymorph in this dataset is 224 meV per atom. The formation enthalpy at 0 K comes out at 0.3878 eV/atom. The calculation puts the volume at 33.54 Å³ per atom. The calculation puts the density of states at the Fermi level at 15.75 states/eV per cell. As for the space group: P-62m. The value obtained for the magnetic moment is 0.000 μB per cell.

---

First-principles (GGA-PBE) data for an optimized crystal structure of Tb4HoTh2, as listed in the Alexandria database.

Unit cell a=20.284 b=20.284 c=20.284 alpha=10.12 beta=10.12 gamma=10.12
Element x y z (fractional)
Tb: 0.142 0.142 0.142
Tb: 0.285 0.285 0.285
Tb: 0.715 0.715 0.715
Tb: 0.858 0.858 0.858
Ho: 0.000 0.000 0.000
Th: 0.429 0.429 0.429
Th: 0.571 0.571 0.571

Results
The value obtained for the energy above the most stable polymorph in this dataset is 0 meV per atom. The formation enthalpy at 0 K comes out at 0.0229 eV/atom. The calculation puts the volume at 31.96 Å³ per atom. The calculation puts the density of states at the Fermi level at 10.24 states/eV per cell. As for the space group: R-3m. The value obtained for the magnetic moment is 0.001 μB per cell.

---

First-principles (GGA-PBE) data for an optimized crystal structure of Tb6HoTh2, as listed in the Alexandria database.

Unit cell a=3.569 b=3.569 c=26.356 alpha=90.00 beta=90.00 gamma=120.00
Element x y z (fractional)
Tb: 0.000 0.000 0.063
Tb: 0.000 0.000 0.283
Tb: 0.000 0.000 0.717
Tb: 0.000 0.000 0.937
Tb: 0.333 0.667 0.392
Tb: 0.333 0.667 0.608
Ho: 0.000 0.000 0.500
Th: 0.333 0.667 0.171
Th: 0.333 0.667 0.829

Results
The value obtained for the energy above the most stable polymorph in this dataset is 17 meV per atom. The formation enthalpy at 0 K comes out at 0.0696 eV/atom. The calculation puts the volume at 32.31 Å³ per atom. The calculation puts the density of states at the Fermi level at 17.80 states/eV per cell. As for the space group: P-6m2. The value obtained for the magnetic moment is 0.002 μB per cell.

---

Q: Among the records above, which one has the highest density of states at the Fermi level?
A: number 1

---

Q: Which value of magnetic moment does entry 11 give?
A: 0.001 μB per cell

---

Q: Among the records above, which one has the highest density of states at the Fermi level?
A: number 1

---

Q: What is the formula in the first record?
A: Tb8Ho3Th2